Record 1
Ce2ZnSi | PBE | relaxed

Summary:
The calculated volume comes out at 22.41 A^3/atom. The calculation puts the magnetization at 0.00 μB/f.u. The uncorrected formation energy is 0.50 eV/f.u.

Lattice parameters (Å, degrees): 3.0267 3.0267 11.4344 82.39 82.39 60.00
Fractional coordinates of all 4 atoms:
Ce: 0.9072 0.9072 0.2783
Ce: 0.0928 0.0928 0.7217
Zn: 0.0000 0.0000 0.0000
Si: 0.5000 0.5000 0.5000

***

Record 2
Ce3Zn4Si2 | PBE | relaxed

Summary:
The calculated volume comes out at 20.77 A^3/atom. The calculation puts the magnetization at 1.75 μB/f.u. The uncorrected formation energy is -4.01 eV/f.u.

Lattice parameters (Å, degrees): 4.3381 5.7694 8.4746 106.61 90.00 112.08
Last column: magnetic moment on the atom in μB.
Fractional coordinates of all 9 atoms:
Zn: 0.7387 0.4775 0.0733  -0.01
Zn: 0.9740 0.9479 0.6373  0.00
Zn: 0.0260 0.0521 0.3627  0.00
Zn: 0.2613 0.5225 0.9267  -0.01
Si: 0.6057 0.2113 0.2731  -0.02
Si: 0.3943 0.7887 0.7269  -0.02
Ce: 0.3243 0.6487 0.3450  0.56
Ce: 0.6757 0.3513 0.6550  0.56
Ce: 0.0000 0.0000 0.0000  0.39